1.
SrZrSb2 (GGA-PBEsol, relaxed); formation energy from raw total energies = -0.8301 eV per atom; SG = No. 166; V = 29.07 Å³ per atom; DOS(E_F) = 1.0 states/eV per cell; DFT total energy = -5.84 eV per atom; offset from the most stable computed form = 0 meV per atom
1.0
2.110 1.218 7.543
-2.110 1.218 7.543
0.000 -2.436 7.543
Sr Zr Sb
1 1 2
Direct
0.000 0.000 0.000
0.500 0.500 0.500
0.239 0.239 0.239
0.761 0.761 0.761


2.
TaSb2 (GGA-PBEsol, relaxed); formation energy from raw total energies = -0.1185 eV per atom; SG = No. 140; V = 21.53 Å³ per atom; DOS(E_F) = 3.7 states/eV per cell; DFT total energy = -7.34 eV per atom
1.0
-3.347 3.347 2.882
3.347 -3.347 2.882
3.347 3.347 -2.882
Ta Sb
2 4
Direct
0.250 0.250 0.000
0.750 0.750 0.000
0.152 0.652 0.805
0.348 0.152 0.500
0.652 0.848 0.500
0.848 0.348 0.195